Density functional theory data (GGA-PBE) for a geometry-optimized Sr3BiAu4 structure.

Structure (POSCAR):
```
Sr3BiAu4
1.0
4.389 0.000 0.000
0.000 7.314 0.000
0.000 0.000 15.435
Sr Bi Au
6 2 8
Cartesian
0.000 0.000 0.000
0.000 3.657 2.805
0.000 3.657 12.630
2.195 0.000 4.912
2.195 0.000 10.522
2.195 3.657 7.717
0.000 0.000 7.717
2.195 3.657 0.000
0.000 2.268 5.720
0.000 2.268 9.714
0.000 5.046 5.720
0.000 5.046 9.714
2.195 1.389 1.997
2.195 1.389 13.438
2.195 5.925 1.997
2.195 5.925 13.438
```

- Space-group type: Immm (71)
- ΔH_f (0 K): -14.33 kcal/mol of atoms


Density functional theory data (GGA-PBE) for a geometry-optimized Zn2Cd2S structure.

Structure (POSCAR):
```
Zn2Cd2S
1.0
7.092 0.000 0.000
0.000 7.092 0.000
0.000 0.000 4.233
Zn Cd S
4 4 2
Cartesian
1.084 2.462 0.000
2.462 6.008 0.000
4.630 1.084 0.000
6.008 4.630 0.000
1.063 4.609 2.117
2.483 1.063 2.117
4.609 6.029 2.117
6.029 2.483 2.117
0.000 0.000 2.117
3.546 3.546 2.117
```

- Space-group type: P4/mbm (127)
- ΔE to the lowest computed polymorph: 2.48 kcal/mol of atoms


Density functional theory data (GGA-PBE) for a geometry-optimized PmNbN2 structure.

Structure (POSCAR):
```
PmNbN2
1.0
5.792 0.000 0.000
0.000 3.374 0.000
0.000 0.000 11.084
Pm Nb N
4 4 8
Cartesian
0.500 0.844 1.538
2.396 2.531 7.080
3.397 0.844 4.004
5.292 2.531 9.546
0.483 2.531 4.342
2.413 0.844 9.884
3.380 2.531 1.200
5.309 0.844 6.742
0.934 0.844 8.352
1.349 0.844 5.417
1.547 2.531 10.959
1.962 2.531 2.810
3.830 0.844 8.274
4.245 0.844 0.125
4.443 2.531 5.667
4.858 2.531 2.732
```

- Space-group type: Pnma (62)
- ΔE to the lowest computed polymorph: 0.00 kcal/mol of atoms


Density functional theory data (GGA-PBE) for a geometry-optimized Al2CrN structure.

Structure (POSCAR):
```
Al2CrN
1.0
6.337 0.000 0.000
0.000 6.337 0.000
0.000 0.000 5.233
Al Cr N
8 4 4
Cartesian
1.009 1.584 0.654
1.584 4.178 1.962
1.584 5.328 4.579
2.159 1.584 3.271
4.178 4.753 3.271
4.753 1.009 4.579
4.753 2.159 1.962
5.328 4.753 0.654
0.000 0.000 2.616
0.000 3.169 3.925
3.169 0.000 1.308
3.169 3.169 0.000
0.000 0.000 0.000
0.000 3.169 1.308
3.169 0.000 3.925
3.169 3.169 2.616
```

- Energy: -101.6 eV/cell
- Space-group type: I-42d (122)


Density functional theory data (GGA-PBE) for a geometry-optimized Ga2Co2Ag structure.

Structure (POSCAR):
```
Ga2Co2Ag
1.0
3.712 0.000 0.000
0.000 3.712 0.000
0.000 0.000 10.855
Ga Co Ag
4 4 2
Cartesian
0.000 1.856 2.714
0.000 1.856 8.141
1.856 0.000 2.714
1.856 0.000 8.141
0.000 0.000 1.119
0.000 0.000 9.736
1.856 1.856 4.309
1.856 1.856 6.546
0.000 0.000 5.427
1.856 1.856 0.000
```

- Space-group type: I4/mmm (139)
- ΔH_f (0 K): 5.13 kcal/mol of atoms
- ΔE to the lowest computed polymorph: 6.79 kcal/mol of atoms


Density functional theory data (GGA-PBE) for a geometry-optimized NaSnHg structure.

Structure (POSCAR):
```
NaSnHg
1.0
6.315 0.000 0.000
0.000 8.430 0.000
-4.675 0.000 6.217
Na Sn Hg
4 4 4
Cartesian
0.894 1.762 0.593
-1.444 2.454 3.702
3.084 5.977 2.515
0.746 6.669 5.624
-2.724 4.928 5.812
-0.387 7.718 2.704
2.027 0.713 3.514
4.364 3.503 0.405
0.110 4.892 1.989
-2.228 7.753 5.098
3.868 0.677 1.120
1.530 3.538 4.228
```

- Space-group type: P2_1/c (14)
- ΔH_f (0 K): -4.02 kcal/mol of atoms
- ΔE to the lowest computed polymorph: 0.09 kcal/mol of atoms


Density functional theory data (GGA-PBE) for a geometry-optimized NdH4Pd2Rh structure.

Structure (POSCAR):
```
NdH4Pd2Rh
1.0
5.227 0.000 0.000
0.000 5.227 0.000
0.000 0.000 6.303
Nd H Pd Rh
2 8 4 2
Cartesian
0.000 0.000 0.000
2.613 2.613 3.151
0.995 0.995 4.240
0.995 4.232 2.063
1.619 1.619 1.089
1.619 3.608 5.214
3.608 1.619 5.214
3.608 3.608 1.089
4.232 0.995 2.063
4.232 4.232 4.240
0.000 2.613 1.576
0.000 2.613 4.727
2.613 0.000 1.576
2.613 0.000 4.727
0.000 0.000 3.151
2.613 2.613 0.000
```

- Energy: -78.0 eV/cell
- Space-group type: I-42m (121)


Density functional theory data (GGA-PBE) for a geometry-optimized CsZnMo2H structure.

Structure (POSCAR):
```
CsZnMo2H
1.0
4.053 0.000 0.000
0.000 4.053 0.000
0.000 0.000 5.807
Cs Zn Mo H
1 1 2 1
Cartesian
0.000 0.000 0.000
2.027 2.027 0.000
0.000 2.027 2.904
2.027 0.000 2.904
0.000 0.000 2.904
```

- Energy: -20.1 eV/cell
- Space-group type: P4/mmm (123)